(1)
VASP calculation (PBE) on an optimized crystal structure of YScOs2.

Calculated values
Total DFT energy (no corrections) ... -8.789 eV/atom
DOS(E_F) ... 2.120 states/eV per cell

abc: 3.0197 4.2091 6.0272
angles: 90.00 103.19 90.00
Atoms (fractional coordinates):
1 Y 0.0000 0.0000 0.0000
2 Sc 0.5000 0.0000 0.5000
3 Os 0.2962 0.5000 0.7060
4 Os 0.7038 0.5000 0.2940

(2)
VASP calculation (PBE) on an optimized crystal structure of YSc4Os.

Calculated values
Total DFT energy (no corrections) ... -6.707 eV/atom
DOS(E_F) ... 6.125 states/eV per cell

abc: 5.7352 5.7352 5.7352
angles: 60.00 60.00 60.00
Atoms (fractional coordinates):
1 Y 0.0000 0.0000 0.0000
2 Sc 0.3765 0.3765 0.3765
3 Sc 0.3765 0.3765 0.8704
4 Sc 0.3765 0.8704 0.3765
5 Sc 0.8704 0.3765 0.3765
6 Os 0.7500 0.7500 0.7500

(3)
VASP calculation (PBE) on an optimized crystal structure of YSc2Os.

Calculated values
Energy relative to the lowest polymorph listed for this composition ... 624 meV per atom
DOS(E_F) ... 30.109 states/eV per cell

abc: 4.2060 4.2060 20.3587
angles: 90.00 90.00 90.00
Atoms (fractional coordinates):
1 Y 0.0000 0.0000 0.0000
2 Y 0.0000 0.5000 0.2500
3 Y 0.5000 0.0000 0.7500
4 Y 0.5000 0.5000 0.5000
5 Sc 0.2207 0.2500 0.6250
6 Sc 0.2500 0.7207 0.8750
7 Sc 0.2500 0.7793 0.3750
8 Sc 0.2793 0.2500 0.1250
9 Sc 0.7207 0.7500 0.1250
10 Sc 0.7500 0.2207 0.3750
11 Sc 0.7500 0.2793 0.8750
12 Sc 0.7793 0.7500 0.6250
13 Os 0.0000 0.0000 0.5000
14 Os 0.0000 0.5000 0.7500
15 Os 0.5000 0.0000 0.2500
16 Os 0.5000 0.5000 0.0000

(4)
VASP calculation (PBE) on an optimized crystal structure of Y2ScOs2.

Calculated values
Energy relative to the lowest polymorph listed for this composition ... 80 meV per atom
DOS(E_F) ... 9.087 states/eV per cell

abc: 7.1165 7.1165 4.3970
angles: 90.00 90.00 90.00
Atoms (fractional coordinates):
1 Y 0.1764 0.3236 0.0000
2 Y 0.3236 0.8236 0.0000
3 Y 0.6764 0.1764 0.0000
4 Y 0.8236 0.6764 0.0000
5 Sc 0.0000 0.0000 0.5000
6 Sc 0.5000 0.5000 0.5000
7 Os 0.1219 0.6219 0.5000
8 Os 0.3781 0.1219 0.5000
9 Os 0.6219 0.8781 0.5000
10 Os 0.8781 0.3781 0.5000

(5)
VASP calculation (PBE) on an optimized crystal structure of YSc2Os.

Calculated values
Energy relative to the lowest polymorph listed for this composition ... 262 meV per atom
DOS(E_F) ... 15.748 states/eV per cell

abc: 6.9020 6.9020 6.9020
angles: 90.00 90.00 90.00
Atoms (fractional coordinates):
1 Y 0.0000 0.0000 0.0000
2 Y 0.0000 0.5000 0.5000
3 Y 0.5000 0.0000 0.5000
4 Y 0.5000 0.5000 0.0000
5 Sc 0.2500 0.2500 0.2500
6 Sc 0.2500 0.2500 0.7500
7 Sc 0.2500 0.7500 0.2500
8 Sc 0.2500 0.7500 0.7500
9 Sc 0.7500 0.2500 0.2500
10 Sc 0.7500 0.2500 0.7500
11 Sc 0.7500 0.7500 0.2500
12 Sc 0.7500 0.7500 0.7500
13 Os 0.0000 0.0000 0.5000
14 Os 0.0000 0.5000 0.0000
15 Os 0.5000 0.0000 0.0000
16 Os 0.5000 0.5000 0.5000

(6)
VASP calculation (PBE) on an optimized crystal structure of YSc2Os.

Calculated values
Energy relative to the lowest polymorph listed for this composition ... 230 meV per atom
DOS(E_F) ... 4.395 states/eV per cell

abc: 3.2963 4.4450 6.0824
angles: 90.00 104.73 90.00
Atoms (fractional coordinates):
1 Y 0.0000 0.0000 0.0000
2 Sc 0.3219 0.5000 0.7109
3 Sc 0.6781 0.5000 0.2891
4 Os 0.5000 0.0000 0.5000

(7)
VASP calculation (PBE) on an optimized crystal structure of YScOs2.

Calculated values
Total DFT energy (no corrections) ... -8.943 eV/atom
DOS(E_F) ... 5.154 states/eV per cell

abc: 3.3207 3.3207 6.6510
angles: 90.00 90.00 90.00
Atoms (fractional coordinates):
1 Y 0.0000 0.0000 0.0000
2 Sc 0.0000 0.0000 0.5000
3 Os 0.5000 0.5000 0.2701
4 Os 0.5000 0.5000 0.7299

(8)
VASP calculation (PBE) on an optimized crystal structure of YScOs3.

Calculated values
Energy relative to the lowest polymorph listed for this composition ... 0 meV per atom
DOS(E_F) ... 9.026 states/eV per cell

abc: 4.6915 4.6915 4.6915
angles: 90.00 90.00 90.00
Atoms (fractional coordinates):
1 Y 0.0000 0.0000 0.0000
2 Sc 0.5000 0.5000 0.5000
3 Os 0.0000 0.5000 0.5000
4 Os 0.5000 0.0000 0.5000
5 Os 0.5000 0.5000 0.0000

What is the DOS(E_F) in the first record?
2.120 states/eV per cell